# 1
An optimized crystal structure of Ac3Pr12Th. Source: the Alexandria database, functional PBE.

Results
- Spin magnetization: 0.00 μB per atom
- Space-group type: P4/mmm, No. 123
- ΔH_f (0 K): 27 meV per atom
- Crystal system: tetragonal
- N(E_F): 24.2 states/eV per cell

a = 5.306 Å, b = 5.306 Å, c = 21.255 Å
α = 90.00°, β = 90.00°, γ = 90.00°
Fractional coordinates of all 16 atoms:
Ac  0.000  0.000  0.000
Ac  0.000  0.000  0.253
Ac  0.000  0.000  0.747
Pr  0.000  0.500  0.127
Pr  0.000  0.500  0.382
Pr  0.000  0.500  0.618
Pr  0.000  0.500  0.873
Pr  0.500  0.000  0.127
Pr  0.500  0.000  0.382
Pr  0.500  0.000  0.618
Pr  0.500  0.000  0.873
Pr  0.500  0.500  0.000
Pr  0.500  0.500  0.253
Pr  0.500  0.500  0.500
Pr  0.500  0.500  0.747
Th  0.000  0.000  0.500


# 2
An optimized crystal structure of MgSnRu2. Source: the Alexandria database, functional PBE.

Results
- Spin magnetization: 0.41 μB per atom
- Space-group type: Immm, No. 71
- ΔH_f (0 K): 733 meV per atom
- Crystal system: orthorhombic
- N(E_F): 5.3 states/eV per cell

a = 6.178 Å, b = 6.178 Å, c = 6.178 Å
α = 153.01°, β = 135.29°, γ = 53.00°
Fractional coordinates of all 4 atoms:
Mg  0.000  0.000  0.000
Sn  0.500  0.500  0.000
Ru  0.264  0.264  0.000
Ru  0.736  0.736  0.000


# 3
An optimized crystal structure of SrSi2Au. Source: the Alexandria database, functional PBE.

Results
- Spin magnetization: 0.00 μB per atom
- Space-group type: P4mm, No. 99
- Crystal system: tetragonal
- N(E_F): 1.2 states/eV per cell
- Uncorrected formation energy: -0.08 eV per atom

a = 3.451 Å, b = 3.451 Å, c = 7.044 Å
α = 90.00°, β = 90.00°, γ = 90.00°
Fractional coordinates of all 4 atoms:
Sr  0.000  0.000  0.000
Si  0.000  0.000  0.533
Si  0.500  0.500  0.672
Au  0.500  0.500  0.303


# 4
An optimized crystal structure of Rb2NaTc. Source: the Alexandria database, functional PBE.

Results
- Spin magnetization: 0.94 μB per atom
- Space-group type: Fm-3m, No. 225
- ΔH_f (0 K): 1217 meV per atom
- Crystal system: cubic
- N(E_F): 6.1 states/eV per cell

a = 6.329 Å, b = 6.329 Å, c = 6.329 Å
α = 60.00°, β = 60.00°, γ = 60.00°
Fractional coordinates of all 4 atoms:
Rb  0.250  0.250  0.250
Rb  0.750  0.750  0.750
Na  0.000  0.000  0.000
Tc  0.500  0.500  0.500


# 5
An optimized crystal structure of TeRhW2. Source: the Alexandria database, functional PBE.

Results
- Spin magnetization: 0.00 μB per atom
- Space-group type: I4/mmm, No. 139
- Crystal system: tetragonal
- N(E_F): 5.8 states/eV per cell
- Uncorrected formation energy: 0.59 eV per atom

a = 5.208 Å, b = 5.208 Å, c = 5.208 Å
α = 135.74°, β = 135.74°, γ = 64.38°
Fractional coordinates of all 4 atoms:
Te  0.000  0.000  0.000
Rh  0.500  0.500  0.000
W  0.250  0.750  0.500
W  0.750  0.250  0.500


# 6
An optimized crystal structure of Sr2GaGe. Source: the Alexandria database, functional PBE.

Results
- Spin magnetization: 0.00 μB per atom
- Space-group type: P2_1/m, No. 11
- ΔH_f (0 K): -544 meV per atom
- Crystal system: monoclinic
- N(E_F): 6.4 states/eV per cell

a = 6.379 Å, b = 4.317 Å, c = 9.269 Å
α = 90.00°, β = 107.74°, γ = 90.00°
Fractional coordinates of all 8 atoms:
Sr  0.206  0.250  0.428
Sr  0.287  0.750  0.068
Sr  0.713  0.250  0.932
Sr  0.794  0.750  0.572
Ga  0.352  0.750  0.717
Ga  0.648  0.250  0.283
Ge  0.153  0.250  0.783
Ge  0.847  0.750  0.217


# 7
An optimized crystal structure of PmNd2P. Source: the Alexandria database, functional PBE.

Results
- Spin magnetization: 0.00 μB per atom
- Space-group type: R-3m, No. 166
- ΔH_f (0 K): -649 meV per atom
- Crystal system: trigonal
- N(E_F): 3.4 states/eV per cell

a = 9.878 Å, b = 9.878 Å, c = 9.878 Å
α = 22.93°, β = 22.93°, γ = 22.93°
Fractional coordinates of all 4 atoms:
Pm  0.000  0.000  0.000
Nd  0.226  0.226  0.226
Nd  0.774  0.774  0.774
P  0.500  0.500  0.500


# 8
An optimized crystal structure of Ti2GePd5. Source: the Alexandria database, functional PBE.

Results
- Spin magnetization: 0.00 μB per atom
- Space-group type: Pbam, No. 55
- ΔH_f (0 K): -491 meV per atom
- Crystal system: orthorhombic
- N(E_F): 19.0 states/eV per cell

a = 5.503 Å, b = 10.641 Å, c = 4.208 Å
α = 90.00°, β = 90.00°, γ = 90.00°
Fractional coordinates of all 16 atoms:
Ti  0.170  0.139  0.000
Ti  0.330  0.639  0.000
Ti  0.670  0.361  0.000
Ti  0.830  0.861  0.000
Ge  0.000  0.500  0.500
Ge  0.500  0.000  0.500
Pd  0.000  0.000  0.500
Pd  0.097  0.743  0.500
Pd  0.173  0.392  0.000
Pd  0.327  0.892  0.000
Pd  0.403  0.243  0.500
Pd  0.500  0.500  0.500
Pd  0.597  0.757  0.500
Pd  0.673  0.108  0.000
Pd  0.827  0.608  0.000
Pd  0.903  0.257  0.500


> Number 6 is which compound?

Sr2GaGe


Repeat the fifth record exactly.
An optimized crystal structure of TeRhW2. Source: the Alexandria database, functional PBE.

Results
- Spin magnetization: 0.00 μB per atom
- Space-group type: I4/mmm, No. 139
- Crystal system: tetragonal
- N(E_F): 5.8 states/eV per cell
- Uncorrected formation energy: 0.59 eV per atom

a = 5.208 Å, b = 5.208 Å, c = 5.208 Å
α = 135.74°, β = 135.74°, γ = 64.38°
Fractional coordinates of all 4 atoms:
Te  0.000  0.000  0.000
Rh  0.500  0.500  0.000
W  0.250  0.750  0.500
W  0.750  0.250  0.500